# 1
An optimized crystal structure of Y2HAu, computed with GGA-PBE.

```
Y2HAu
1.0
0.0000 3.4853 3.4853
3.4853 0.0000 3.4853
3.4853 3.4853 0.0000
H Y Au
1 2 1
direct
0.0000 0.0000 0.0000 H
0.2500 0.2500 0.2500 Y
0.7500 0.7500 0.7500 Y
0.5000 0.5000 0.5000 Au
```

Computed properties:
DOS at the Fermi energy: 0.620 states/eV/atom
crystal system: cubic
polymorph energy (0 for the lowest one): 1.62 eV per formula unit

---

# 2
An optimized crystal structure of Pm12Si5Sn2, computed with GGA-PBE.

```
Pm12Si5Sn2
1.0
-2.1191 -0.9205 -6.7424
-3.3694 -6.4904 5.7122
-6.2939 7.5057 0.9534
Pm Si Sn
12 5 2
direct
0.5540 0.6319 0.8990 Pm
0.9101 0.8202 0.2060 Pm
0.0779 0.6319 0.8990 Pm
0.9221 0.3681 0.1010 Pm
0.4918 0.9836 0.7488 Pm
0.4065 0.2923 0.5449 Pm
0.5935 0.7077 0.4551 Pm
0.1142 0.7077 0.4551 Pm
0.5082 0.0164 0.2512 Pm
0.0899 0.1798 0.7940 Pm
0.8858 0.2923 0.5449 Pm
0.4460 0.3681 0.1010 Pm
0.2912 0.5825 0.6500 Si
0.7088 0.4175 0.3500 Si
0.6691 0.3382 0.8135 Si
0.0000 0.0000 0.5000 Si
0.3309 0.6618 0.1865 Si
0.2122 0.0000 0.0000 Sn
0.7878 0.0000 0.0000 Sn
```

Computed properties:
formation energy from raw total energies: -7.00 eV/f.u.
DOS at the Fermi energy: 0.978 states/eV/atom
crystal system: monoclinic

---

# 3
An optimized crystal structure of NaAcLuCd, computed with GGA-PBE.

```
NaAcLuCd
1.0
-2.4489 4.6121 2.0651
-1.9263 0.0340 5.2746
2.6142 3.0495 3.9242
Cd Lu Na Ac
1 1 1 1
direct
0.7500 0.7500 0.7500 Cd
0.5000 0.5000 0.5000 Lu
0.2500 0.2500 0.2500 Na
0.0000 0.0000 0.0000 Ac
```

Computed properties:
DOS at the Fermi energy: 1.518 states/eV/atom
crystal system: cubic
energy relative to the elements: 0.061 eV per atom

---

# 4
An optimized crystal structure of Dy2TmOs, computed with GGA-PBE.

```
Dy2TmOs
1.0
3.9855 -0.0005 0.0000
-1.9934 5.8629 0.0000
0.0000 0.0000 8.9505
Dy Os Tm
4 2 2
direct
0.6435 0.2871 0.4347 Dy
0.3565 0.7129 0.5653 Dy
0.3565 0.7129 0.9347 Dy
0.6435 0.2871 0.0653 Dy
0.2593 0.5190 0.2500 Os
0.7407 0.4810 0.7500 Os
0.9245 0.8493 0.2500 Tm
0.0755 0.1507 0.7500 Tm
```

Computed properties:
DOS at the Fermi energy: 0.676 states/eV/atom
crystal system: orthorhombic
polymorph energy (0 for the lowest one): 0.07 eV per formula unit
energy relative to the elements: -0.256 eV per atom

---

# 5
An optimized crystal structure of ZrTeBr2, computed with GGA-PBE.

```
ZrTeBr2
1.0
-5.2238 -3.8247 6.7765
-5.2658 -6.5574 4.1363
-2.3390 -6.2873 6.5449
Br Te Zr
2 1 1
direct
0.2438 0.2438 0.2438 Br
0.0198 0.0198 0.0198 Br
0.4854 0.4854 0.4854 Te
0.7510 0.7510 0.7510 Zr
```

Computed properties:
formation energy from raw total energies: -2.91 eV/f.u.
DOS at the Fermi energy: 0.926 states/eV/atom
crystal system: trigonal
polymorph energy (0 for the lowest one): 1.41 eV per formula unit

---

# 6
An optimized crystal structure of LiEr2Se3, computed with GGA-PBE.

```
LiEr2Se3
1.0
0.3320 -2.8271 -2.8372
2.4590 -2.1040 2.3832
-8.1020 -1.6340 3.5272
Li Er Se
1 2 3
direct
0.4344 0.4365 0.8740 Li
0.0947 0.0960 0.1950 Er
0.7737 0.7750 0.5529 Er
0.9342 0.9357 0.8740 Se
0.2669 0.2682 0.5394 Se
0.6015 0.6028 0.2085 Se
```

Computed properties:
formation energy from raw total energies: -10.05 eV/f.u.
DOS at the Fermi energy: 0.059 states/eV/atom
crystal system: tetragonal
polymorph energy (0 for the lowest one): 0.19 eV per formula unit

---

# 7
An optimized crystal structure of Tb5Y2In, computed with GGA-PBE.

```
Tb5Y2In
1.0
-2.8424 6.2804 1.4093
-3.6456 -2.8393 5.3062
6.9877 -0.7231 -0.2521
Tb In Y
5 1 2
direct
0.2222 0.2222 0.9442 Tb
0.7221 0.7221 0.9443 Tb
0.7222 0.7222 0.4443 Tb
0.2222 0.7220 0.9443 Tb
0.7220 0.2223 0.9443 Tb
0.2220 0.2220 0.4440 In
0.7221 0.2221 0.4443 Y
0.2221 0.7221 0.4443 Y
```

Computed properties:
DOS at the Fermi energy: 1.379 states/eV/atom
crystal system: tetragonal
polymorph energy (0 for the lowest one): 0.30 eV per formula unit
energy relative to the elements: -0.074 eV per atom

---

# 8
An optimized crystal structure of LaPr3Au7, computed with GGA-PBE.

```
LaPr3Au7
1.0
-1.0152 -1.7432 -3.3526
-6.4172 -6.3351 7.5204
-9.6164 8.1609 -1.3312
Au Pr La
14 6 2
direct
0.5405 0.0810 0.0735 Au
0.3834 0.7668 0.7500 Au
0.7219 0.4437 0.9324 Au
0.4007 0.8014 0.3662 Au
0.4595 0.9190 0.5735 Au
0.2781 0.5563 0.0676 Au
0.4007 0.8014 0.1338 Au
0.7219 0.4437 0.5676 Au
0.5405 0.0810 0.4265 Au
0.6166 0.2332 0.2500 Au
0.5993 0.1986 0.8662 Au
0.2781 0.5563 0.4324 Au
0.4595 0.9190 0.9265 Au
0.5993 0.1986 0.6338 Au
0.8556 0.7112 0.9377 Pr
0.8556 0.7112 0.5623 Pr
0.1444 0.2888 0.0623 Pr
0.8128 0.6257 0.2500 Pr
0.1444 0.2888 0.4377 Pr
0.1872 0.3743 0.7500 Pr
0.0053 0.0107 0.7500 La
0.9947 0.9893 0.2500 La
```

Computed properties:
DOS at the Fermi energy: 0.598 states/eV/atom
crystal system: orthorhombic
energy relative to the elements: -0.710 eV per atom

---

| no. | total magnetization (μB/f.u.) |
| --- | --- |
| 1 | 0.000 |
| 2 | 0.001 |
| 3 | 0.000 |
| 4 | 0.000 |
| 5 | 0.001 |
| 6 | 0.000 |
| 7 | 0.000 |
| 8 | 0.000 |